PBEsol Zr3Be2, relaxed; space-group type = P-3m1; formation enthalpy at 0 K = 98 meV per atom; density of states at the Fermi level = 3.7 states/eV/f.u.
1.0
4.3121 0.0000 0.0000
-2.1560 3.7344 0.0000
0.0000 0.0000 5.3941
Zr Be
3 2
Cartesian
0.0000 0.0000 0.0000
0.0000 2.4896 1.8813
2.1560 1.2448 3.5128
0.0000 2.4896 4.5830
2.1560 1.2448 0.8111

---

PBEsol Ca2C, relaxed; energy above the most stable polymorph in this dataset = 0.359 eV per atom; space-group type = Cmcm; formation enthalpy at 0 K = 375 meV per atom; density of states at the Fermi level = 3.2 states/eV/f.u.
1.0
1.8740 -3.3404 0.0000
1.8740 3.3404 0.0000
0.0000 0.0000 13.3684
Ca C
4 2
Cartesian
1.8740 2.2059 7.9085
1.8740 2.2059 12.1441
1.8740 -2.2059 1.2243
1.8740 -2.2059 5.4599
1.8740 0.0000 0.0000
1.8740 0.0000 6.6842

---

PBEsol Tl3VS4, relaxed; space-group type = I-43m; density of states at the Fermi level = 0.0 states/eV/f.u.; formation energy (no corrections) = -0.574 eV per atom
1.0
-3.7045 3.7045 3.7045
3.7045 -3.7045 3.7045
3.7045 3.7045 -3.7045
Tl V S
3 1 4
Cartesian
3.7045 0.0000 0.0000
0.0000 3.7045 0.0000
0.0000 0.0000 3.7045
0.0000 0.0000 0.0000
1.2400 1.2400 -1.2400
1.2400 -1.2400 1.2400
-1.2400 1.2400 1.2400
2.4646 2.4646 2.4646

---

PBEsol Sr2WSe, relaxed; space-group type = P4/mmm; density of states at the Fermi level = 3.9 states/eV/f.u.; formation energy (no corrections) = 0.260 eV per atom
1.0
3.7329 0.0000 0.0000
0.0000 3.7329 0.0000
0.0000 0.0000 7.6621
Sr W Se
2 1 1
Cartesian
0.0000 0.0000 1.7799
0.0000 0.0000 5.8822
1.8665 1.8665 3.8310
1.8665 1.8665 0.0000

---

PBEsol CuRe2Au, relaxed; energy above the most stable polymorph in this dataset = 0.303 eV per atom; space-group type = F-43m; formation enthalpy at 0 K = 558 meV per atom; density of states at the Fermi level = 4.2 states/eV/f.u.
1.0
0.0000 3.0794 3.0794
3.0794 0.0000 3.0794
3.0794 3.0794 0.0000
Cu Re Au
1 2 1
Cartesian
0.0000 0.0000 0.0000
3.0794 3.0794 3.0794
4.6192 4.6192 4.6192
1.5397 1.5397 1.5397

---

PBEsol Sc2CoGeP, relaxed; space-group type = P4/mmm; formation enthalpy at 0 K = -338 meV per atom; density of states at the Fermi level = 3.1 states/eV/f.u.
1.0
4.7038 0.0000 0.0000
0.0000 4.7038 0.0000
0.0000 0.0000 4.2348
Sc Co Ge P
2 1 1 1
Cartesian
0.0000 2.3519 0.0000
2.3519 0.0000 0.0000
0.0000 0.0000 0.0000
0.0000 0.0000 2.1174
2.3519 2.3519 2.1174

---

PBEsol AgMo2Ru, relaxed; energy above the most stable polymorph in this dataset = 0.032 eV per atom; space-group type = R3m; formation enthalpy at 0 K = 298 meV per atom; density of states at the Fermi level = 2.6 states/eV/f.u.
1.0
1.3716 0.7919 9.3302
-1.3716 0.7919 9.3302
0.0000 -1.5837 9.3302
Ag Mo Ru
1 2 1
Cartesian
0.0000 0.0000 0.0000
0.0000 0.0000 14.1850
0.0000 0.0000 21.1024
0.0000 0.0000 6.9180

---

PBEsol LiCdAs3, relaxed; space-group type = Pm-3m; formation enthalpy at 0 K = 708 meV per atom; density of states at the Fermi level = 3.7 states/eV/f.u.
1.0
5.1335 0.0000 0.0000
0.0000 5.1335 0.0000
0.0000 0.0000 5.1335
Li Cd As
1 1 3
Cartesian
0.0000 0.0000 0.0000
2.5667 2.5667 2.5667
0.0000 2.5667 2.5667
2.5667 0.0000 2.5667
2.5667 2.5667 0.0000

---

- Which of these has the lowest density of states at the Fermi level?
  Tl3VS4

---

- The highest density of states at the Fermi level belongs to which entry?
  CuRe2Au